Record 1
Compound: Na4SrGe6O15
Source: Alexandria
Functional: SCAN
Structure: single point on PBEsol structure

## Properties
The value obtained for the formation energy (no corrections) is -2.04 eV/atom. Its total energy is -11.54 eV per atom. The crystal system is hexagonal.

a = 5.924 Å, b = 10.939 Å, c = 10.939 Å
α = 120.00°, β = 90.00°, γ = 90.00°
Sites, in units of the cell vectors:
O: 0.250 0.922 0.380
O: 0.250 0.458 0.078
O: 0.497 0.154 0.468
O: 0.750 0.204 0.119
O: 0.997 0.686 0.154
O: 0.997 0.846 0.532
O: 0.250 0.555 0.915
O: 0.497 0.532 0.686
O: 0.750 0.881 0.086
O: 0.750 0.078 0.620
O: 0.750 0.542 0.922
O: 0.750 0.380 0.458
O: 0.750 0.914 0.796
O: 0.250 0.085 0.640
O: 0.003 0.314 0.846
O: 0.250 0.119 0.914
O: 0.750 0.640 0.555
O: 0.750 0.915 0.360
O: 0.250 0.086 0.204
O: 0.503 0.846 0.532
O: 0.003 0.532 0.686
O: 0.003 0.154 0.468
O: 0.250 0.796 0.881
O: 0.750 0.445 0.085
O: 0.250 0.620 0.542
O: 0.250 0.360 0.445
O: 0.503 0.686 0.154
O: 0.503 0.468 0.314
O: 0.997 0.468 0.314
O: 0.497 0.314 0.846
Na: 0.500 0.000 0.000
Na: 0.000 0.000 0.000
Na: 0.750 0.124 0.287
Na: 0.750 0.163 0.876
Na: 0.250 0.837 0.124
Na: 0.250 0.876 0.713
Na: 0.250 0.287 0.163
Na: 0.750 0.713 0.837
Ge: 0.250 0.173 0.387
Ge: 0.250 0.214 0.827
Ge: 0.250 0.613 0.786
Ge: 0.500 0.500 0.500
Ge: 0.500 0.000 0.500
Ge: 0.000 0.000 0.500
Ge: 0.750 0.827 0.613
Ge: 0.750 0.786 0.173
Ge: 0.500 0.500 0.000
Ge: 0.750 0.387 0.214
Ge: 0.000 0.500 0.500
Ge: 0.000 0.500 0.000
Sr: 0.250 0.667 0.333
Sr: 0.750 0.333 0.667

=====

Record 2
Compound: NaTbGeO4
Source: Alexandria
Functional: SCAN
Structure: single point on PBEsol structure

## Properties
The value obtained for the formation energy (no corrections) is -2.69 eV/atom. Its total energy is -16.26 eV per atom. The crystal system is orthorhombic.

a = 5.279 Å, b = 6.443 Å, c = 11.456 Å
α = 90.00°, β = 90.00°, γ = 90.00°
Sites, in units of the cell vectors:
Na: 0.500 0.000 0.000
Na: 0.000 0.500 0.500
Na: 0.500 0.500 0.000
Na: 0.000 0.000 0.500
O: 0.292 0.042 0.674
O: 0.792 0.542 0.826
O: 0.208 0.042 0.174
O: 0.727 0.250 0.111
O: 0.227 0.750 0.389
O: 0.292 0.458 0.674
O: 0.208 0.458 0.174
O: 0.175 0.250 0.955
O: 0.708 0.542 0.326
O: 0.773 0.250 0.611
O: 0.675 0.750 0.545
O: 0.792 0.958 0.826
O: 0.273 0.750 0.889
O: 0.708 0.958 0.326
O: 0.325 0.250 0.455
O: 0.825 0.750 0.045
Ge: 0.054 0.250 0.097
Ge: 0.446 0.250 0.597
Ge: 0.946 0.750 0.903
Ge: 0.554 0.750 0.403
Tb: 0.506 0.750 0.722
Tb: 0.994 0.750 0.222
Tb: 0.494 0.250 0.278
Tb: 0.006 0.250 0.778

=====

Record 3
Compound: Na3Ti2Ge3O12
Source: Alexandria
Functional: SCAN
Structure: single point on PBEsol structure

## Properties
The value obtained for the formation energy (no corrections) is -2.26 eV/atom. Its total energy is -11.09 eV per atom. The crystal system is cubic.

a = 10.637 Å, b = 10.637 Å, c = 10.637 Å
α = 109.47°, β = 109.47°, γ = 109.47°
Sites, in units of the cell vectors:
O: 0.511 0.695 0.113
O: 0.101 0.418 0.113
O: 0.011 0.113 0.695
O: 0.887 0.082 0.899
O: 0.418 0.613 0.601
O: 0.683 0.695 0.582
O: 0.601 0.113 0.418
O: 0.387 0.489 0.805
O: 0.305 0.387 0.989
O: 0.101 0.683 0.489
O: 0.918 0.317 0.805
O: 0.082 0.683 0.195
O: 0.195 0.183 0.082
O: 0.989 0.101 0.183
O: 0.113 0.195 0.511
O: 0.195 0.011 0.613
O: 0.989 0.887 0.305
O: 0.183 0.601 0.989
O: 0.613 0.511 0.195
O: 0.817 0.399 0.011
O: 0.887 0.805 0.489
O: 0.305 0.918 0.817
O: 0.695 0.613 0.011
O: 0.082 0.399 0.387
O: 0.601 0.489 0.683
O: 0.582 0.195 0.683
O: 0.399 0.887 0.582
O: 0.113 0.918 0.101
O: 0.317 0.011 0.399
O: 0.183 0.582 0.695
O: 0.418 0.805 0.317
O: 0.511 0.817 0.899
O: 0.387 0.899 0.082
O: 0.683 0.989 0.601
O: 0.805 0.817 0.918
O: 0.695 0.082 0.183
O: 0.317 0.305 0.418
O: 0.899 0.317 0.511
O: 0.817 0.418 0.305
O: 0.613 0.101 0.918
O: 0.011 0.899 0.817
O: 0.489 0.305 0.887
O: 0.805 0.989 0.387
O: 0.918 0.601 0.613
O: 0.582 0.387 0.399
O: 0.899 0.582 0.887
O: 0.399 0.511 0.317
O: 0.489 0.183 0.101
Na: 0.250 0.125 0.875
Na: 0.875 0.250 0.125
Na: 0.625 0.750 0.375
Na: 0.875 0.625 0.250
Na: 0.250 0.625 0.375
Na: 0.625 0.875 0.750
Na: 0.375 0.125 0.250
Na: 0.750 0.875 0.125
Na: 0.125 0.750 0.875
Na: 0.375 0.250 0.625
Na: 0.125 0.375 0.750
Na: 0.750 0.375 0.625
Ti: 0.500 0.500 0.500
Ti: 0.500 0.500 0.000
Ti: 0.500 0.000 0.500
Ti: 0.000 0.000 0.000
Ti: 0.000 0.000 0.500
Ti: 0.000 0.500 0.500
Ti: 0.500 0.000 0.000
Ti: 0.000 0.500 0.000
Ge: 0.750 0.125 0.375
Ge: 0.875 0.750 0.625
Ge: 0.625 0.250 0.875
Ge: 0.875 0.125 0.750
Ge: 0.625 0.375 0.250
Ge: 0.125 0.250 0.375
Ge: 0.125 0.875 0.250
Ge: 0.250 0.875 0.625
Ge: 0.250 0.375 0.125
Ge: 0.375 0.750 0.125
Ge: 0.375 0.625 0.750
Ge: 0.750 0.625 0.875

=====

Record 4
Compound: NaTl2GeO
Source: Alexandria
Functional: SCAN
Structure: single point on PBEsol structure

## Properties
The value obtained for the formation energy (no corrections) is -0.26 eV/atom. Its total energy is -35.11 eV per atom. The crystal system is tetragonal.

a = 4.238 Å, b = 4.966 Å, c = 4.966 Å
α = 90.00°, β = 90.00°, γ = 90.00°
Sites, in units of the cell vectors:
O: 0.000 0.000 0.000
Tl: 0.000 0.000 0.500
Tl: 0.000 0.500 0.000
Ge: 0.500 0.500 0.500
Na: 0.500 0.000 0.000

=====

Record 5
Compound: NaVGe2O6
Source: Alexandria
Functional: SCAN
Structure: single point on PBEsol structure

## Properties
The value obtained for the formation energy (no corrections) is -2.09 eV/atom. Its total energy is -11.82 eV per atom. The crystal system is monoclinic.

a = 5.426 Å, b = 6.683 Å, c = 6.683 Å
α = 82.34°, β = 77.84°, γ = 77.84°
Sites, in units of the cell vectors:
Ge: 0.777 0.690 0.887
Ge: 0.223 0.310 0.113
Ge: 0.277 0.887 0.690
Ge: 0.723 0.113 0.310
O: 0.493 0.119 0.157
O: 0.686 0.586 0.137
O: 0.870 0.521 0.691
O: 0.630 0.309 0.479
O: 0.814 0.863 0.414
O: 0.130 0.479 0.309
O: 0.314 0.414 0.863
O: 0.186 0.137 0.586
O: 0.993 0.157 0.119
O: 0.007 0.843 0.881
O: 0.507 0.881 0.843
O: 0.370 0.691 0.521
V: 0.250 0.412 0.588
V: 0.750 0.588 0.412
Na: 0.250 0.809 0.191
Na: 0.750 0.191 0.809

=====

Record 6
Compound: Na2YGeO
Source: Alexandria
Functional: SCAN
Structure: single point on PBEsol structure

## Properties
The value obtained for the formation energy (no corrections) is -0.27 eV/atom. Its total energy is -12.59 eV per atom. The crystal system is tetragonal.

a = 4.024 Å, b = 6.277 Å, c = 6.277 Å
α = 90.00°, β = 90.00°, γ = 90.00°
Sites, in units of the cell vectors:
Na: 0.000 0.000 0.500
Na: 0.000 0.500 0.000
Y: 0.000 0.000 0.000
Ge: 0.500 0.500 0.500
O: 0.500 0.000 0.000